A plane-wave DFT calculation with SCAN was carried out for LiMoIr2 at its PBEsol-relaxed geometry.

Values from the calculation:
Final energy   -44.664 eV per atom
DFT formation energy   204 meV per atom

Lattice parameters (Å, degrees): 2.6496 2.6496 9.3133 90.00 90.00 116.96
Fractional coordinates of all 4 atoms:
Ir 0.0000 0.0000 0.0009
Mo 0.5000 0.5000 0.2411
Li 0.0000 0.0000 0.5127
Ir 0.5000 0.5000 0.7453

A plane-wave DFT calculation with SCAN was carried out for LiMoIr2 at its PBEsol-relaxed geometry.

Values from the calculation:
Final energy   -45.140 eV per atom
DFT formation energy   -272 meV per atom

Lattice parameters (Å, degrees): 2.8875 2.8875 6.2836 90.00 90.00 90.00
Fractional coordinates of all 4 atoms:
Li 0.5000 0.5000 0.0000
Mo 0.5000 0.5000 0.5000
Ir 0.0000 0.0000 0.7725
Ir 0.0000 0.0000 0.2275